Record 1
Entry from the Alexandria database: an optimized crystal structure of NiBTe2N (PBE).

Output
V ... 94.3 Å³ per cell
Spin magnetization ... 0.00 μB per formula unit
Distance to the lowest polymorph of the same formula ... 0.6814 eV per atom
D(E_F) ... 0.686 states/eV per atom
Uncorrected formation energy ... 5.78 eV per formula unit
Total energy ... -4.258 eV per atom

abc: 5.286 5.286 3.375
angles: 90.00 90.00 90.00
Positions (direct):
Ni1 0.000 0.000 0.000
B1 0.500 0.500 0.500
Te1 0.000 0.500 0.000
Te2 0.500 0.000 0.000
N1 0.000 0.000 0.500


Record 2
Entry from the Alexandria database: an optimized crystal structure of NiBTe2N (PBE).

Output
V ... 81.8 Å³ per cell
Spin magnetization ... 0.00 μB per formula unit
Distance to the lowest polymorph of the same formula ... 0.0000 eV per atom
D(E_F) ... 0.779 states/eV per atom
Uncorrected formation energy ... 2.37 eV per formula unit
Total energy ... -4.939 eV per atom

abc: 5.362 5.362 2.846
angles: 90.00 90.00 90.00
Positions (direct):
Ni1 0.000 0.000 0.000
B1 0.500 0.500 0.500
Te1 0.000 0.500 0.500
Te2 0.500 0.000 0.500
N1 0.500 0.500 0.000


Record 3
Entry from the Alexandria database: an optimized crystal structure of Np3BN6 (PBE).

Output
V ... 243.0 Å³ per cell
Spin magnetization ... 6.00 μB per formula unit
D(E_F) ... 1.481 states/eV per atom
Uncorrected formation energy ... -9.04 eV per formula unit
Total energy ... -10.449 eV per atom

abc: 7.050 7.050 5.023
angles: 90.00 90.00 103.21
Positions (direct):
Np1 0.109 0.891 0.500
Np2 0.198 0.424 0.532
Np3 0.424 0.198 0.032
Np4 0.576 0.802 0.532
Np5 0.802 0.576 0.032
Np6 0.891 0.109 0.000
B1 0.303 0.697 0.099
B2 0.697 0.303 0.599
N1 0.091 0.622 0.234
N2 0.142 0.178 0.269
N3 0.178 0.142 0.769
N4 0.291 0.709 0.775
N5 0.378 0.909 0.234
N6 0.436 0.564 0.219
N7 0.564 0.436 0.719
N8 0.622 0.091 0.734
N9 0.709 0.291 0.275
N10 0.822 0.858 0.269
N11 0.858 0.822 0.769
N12 0.909 0.378 0.734


Record 4
Entry from the Alexandria database: an optimized crystal structure of NpBN2 (PBE).

Output
V ... 121.1 Å³ per cell
Spin magnetization ... 2.17 μB per formula unit
Distance to the lowest polymorph of the same formula ... 1.5756 eV per atom
D(E_F) ... 0.541 states/eV per atom
Uncorrected formation energy ... 2.52 eV per formula unit
Total energy ... -8.436 eV per atom

abc: 2.853 2.853 17.179
angles: 90.00 90.00 120.00
Positions (direct):
Np1 0.000 0.000 0.000
Np2 0.333 0.667 0.667
Np3 0.667 0.333 0.333
B1 0.000 0.000 0.500
B2 0.333 0.667 0.167
B3 0.667 0.333 0.833
N1 0.000 0.000 0.117
N2 0.000 0.000 0.883
N3 0.333 0.667 0.550
N4 0.333 0.667 0.784
N5 0.667 0.333 0.216
N6 0.667 0.333 0.450


Record 5
Entry from the Alexandria database: an optimized crystal structure of NpBN2 (PBE).

Output
V ... 183.2 Å³ per cell
Spin magnetization ... 3.90 μB per formula unit
Distance to the lowest polymorph of the same formula ... 0.0000 eV per atom
D(E_F) ... 1.346 states/eV per atom
Uncorrected formation energy ... -3.78 eV per formula unit
Total energy ... -10.012 eV per atom

abc: 6.021 4.822 7.285
angles: 90.00 119.98 90.00
Positions (direct):
Np1 0.183 0.231 0.428
Np2 0.183 0.269 0.928
Np3 0.817 0.731 0.072
Np4 0.817 0.769 0.572
B1 0.367 0.726 0.649
B2 0.367 0.774 0.149
B3 0.633 0.226 0.851
B4 0.633 0.274 0.351
N1 0.122 0.742 0.448
N2 0.122 0.758 0.948
N3 0.453 0.040 0.266
N4 0.453 0.460 0.766
N5 0.547 0.540 0.234
N6 0.547 0.960 0.734
N7 0.878 0.242 0.052
N8 0.878 0.258 0.552


Record 6
Entry from the Alexandria database: an optimized crystal structure of NpPa2B2N6 (PBE).

Output
V ... 141.8 Å³ per cell
Spin magnetization ... 4.92 μB per formula unit
D(E_F) ... 0.997 states/eV per atom
Uncorrected formation energy ... -10.17 eV per formula unit
Total energy ... -9.583 eV per atom

abc: 5.524 5.524 5.367
angles: 90.00 90.00 120.00
Positions (direct):
Np1 0.000 0.000 0.000
Pa1 0.333 0.667 0.665
Pa2 0.667 0.333 0.335
B1 0.333 0.667 0.203
B2 0.667 0.333 0.797
N1 0.096 0.381 0.249
N2 0.285 0.904 0.249
N3 0.381 0.285 0.751
N4 0.619 0.715 0.249
N5 0.715 0.096 0.751
N6 0.904 0.619 0.751


Record 7
Entry from the Alexandria database: an optimized crystal structure of Pm2NpB2N6 (PBE).

Output
V ... 135.0 Å³ per cell
Spin magnetization ... 1.02 μB per formula unit
Uncorrected formation energy ... -12.08 eV per formula unit
Total energy ... -8.893 eV per atom

abc: 6.276 6.276 6.276
angles: 50.36 50.36 50.36
Positions (direct):
Pm1 0.213 0.213 0.213
Pm2 0.787 0.787 0.787
Np1 0.000 0.000 0.000
B1 0.418 0.418 0.418
B2 0.582 0.582 0.582
N1 0.261 0.261 0.734
N2 0.261 0.734 0.261
N3 0.266 0.739 0.739
N4 0.734 0.261 0.261
N5 0.739 0.266 0.739
N6 0.739 0.739 0.266


Record 8
Entry from the Alexandria database: an optimized crystal structure of BOsN2O (PBE).

Output
V ... 57.0 Å³ per cell
Spin magnetization ... 0.00 μB per formula unit
D(E_F) ... 0.751 states/eV per atom
Uncorrected formation energy ... 6.55 eV per formula unit
Total energy ... -6.594 eV per atom

abc: 3.842 3.842 3.864
angles: 90.00 90.00 90.00
Positions (direct):
B1 0.000 0.000 0.000
Os1 0.500 0.500 0.500
N1 0.000 0.500 0.500
N2 0.500 0.000 0.500
O1 0.500 0.500 0.000


Record 9
Entry from the Alexandria database: an optimized crystal structure of BOsN2O (PBE).

Output
V ... 38.8 Å³ per cell
Spin magnetization ... 0.00 μB per formula unit
D(E_F) ... 0.719 states/eV per atom
Uncorrected formation energy ... 5.61 eV per formula unit
Total energy ... -6.780 eV per atom

abc: 3.404 3.404 3.349
angles: 90.00 90.00 90.00
Positions (direct):
B1 0.000 0.000 0.000
Os1 0.500 0.500 0.500
N1 0.000 0.500 0.000
N2 0.500 0.000 0.000
O1 0.000 0.000 0.500


Record 10
Entry from the Alexandria database: an optimized crystal structure of BOsNO2 (PBE).

Output
V ... 38.9 Å³ per cell
Spin magnetization ... 0.00 μB per formula unit
D(E_F) ... 0.390 states/eV per atom
Uncorrected formation energy ... 3.04 eV per formula unit
Total energy ... -6.623 eV per atom

abc: 3.262 3.262 3.654
angles: 90.00 90.00 90.00
Positions (direct):
B1 0.000 0.000 0.000
Os1 0.500 0.500 0.500
N1 0.000 0.000 0.500
O1 0.000 0.500 0.000
O2 0.500 0.000 0.000


Record 11
Entry from the Alexandria database: an optimized crystal structure of BOsNO2 (PBE).

Output
V ... 57.0 Å³ per cell
Spin magnetization ... 0.00 μB per formula unit
D(E_F) ... 0.660 states/eV per atom
Uncorrected formation energy ... 3.71 eV per formula unit
Total energy ... -6.487 eV per atom

abc: 3.863 3.863 3.819
angles: 90.00 90.00 90.00
Positions (direct):
B1 0.000 0.000 0.000
Os1 0.500 0.500 0.500
N1 0.500 0.500 0.000
O1 0.000 0.500 0.500
O2 0.500 0.000 0.500


Record 12
Entry from the Alexandria database: an optimized crystal structure of BPbN2O (PBE).

Output
V ... 56.8 Å³ per cell
Spin magnetization ... 0.00 μB per formula unit
D(E_F) ... 0.520 states/eV per atom
Uncorrected formation energy ... 3.07 eV per formula unit
Total energy ... -5.785 eV per atom

abc: 3.240 3.240 5.412
angles: 90.00 90.00 90.00
Positions (direct):
B1 0.000 0.000 0.000
Pb1 0.500 0.500 0.500
N1 0.000 0.500 0.000
N2 0.500 0.000 0.000
O1 0.000 0.000 0.500


Record 13
Entry from the Alexandria database: an optimized crystal structure of BPbN2O (PBE).

Output
V ... 95.3 Å³ per cell
Spin magnetization ... 4.57 μB per formula unit
D(E_F) ... 0.450 states/eV per atom
Uncorrected formation energy ... 13.93 eV per formula unit
Total energy ... -3.613 eV per atom

abc: 4.442 4.442 4.830
angles: 90.00 90.00 90.00
Positions (direct):
B1 0.000 0.000 0.000
Pb1 0.000 0.000 0.500
N1 0.000 0.500 0.500
N2 0.500 0.000 0.500
O1 0.500 0.500 0.000


Record 14
Entry from the Alexandria database: an optimized crystal structure of B2PbNO (PBE).

Output
V ... 65.9 Å³ per cell
Spin magnetization ... 0.64 μB per formula unit
D(E_F) ... 0.584 states/eV per atom
Uncorrected formation energy ... 4.89 eV per formula unit
Total energy ... -5.092 eV per atom

abc: 3.235 3.235 6.303
angles: 90.00 90.00 90.00
Positions (direct):
B1 0.000 0.500 0.000
B2 0.500 0.000 0.000
Pb1 0.000 0.000 0.500
N1 0.500 0.500 0.000
O1 0.500 0.500 0.500


Record 15
Entry from the Alexandria database: an optimized crystal structure of BPbNO2 (PBE).

Output
V ... 51.1 Å³ per cell
Spin magnetization ... 0.00 μB per formula unit
D(E_F) ... 0.355 states/eV per atom
Uncorrected formation energy ... 0.15 eV per formula unit
Total energy ... -5.695 eV per atom

abc: 3.247 3.247 4.842
angles: 90.00 90.00 90.00
Positions (direct):
B1 0.000 0.000 0.000
Pb1 0.500 0.500 0.500
N1 0.000 0.000 0.500
O1 0.000 0.500 0.000
O2 0.500 0.000 0.000


Record 16
Entry from the Alexandria database: an optimized crystal structure of BPbN2O (PBE).

Output
V ... 88.1 Å³ per cell
Spin magnetization ... 3.08 μB per formula unit
D(E_F) ... 0.382 states/eV per atom
Uncorrected formation energy ... 11.76 eV per formula unit
Total energy ... -4.047 eV per atom

abc: 4.525 4.525 4.301
angles: 90.00 90.00 90.00
Positions (direct):
B1 0.000 0.000 0.000
Pb1 0.500 0.500 0.500
N1 0.000 0.500 0.500
N2 0.500 0.000 0.500
O1 0.500 0.500 0.000


Record 17
Entry from the Alexandria database: an optimized crystal structure of BPtNO2 (PBE).

Output
V ... 61.9 Å³ per cell
Spin magnetization ... 0.00 μB per formula unit
D(E_F) ... 0.287 states/eV per atom
Uncorrected formation energy ... 7.14 eV per formula unit
Total energy ... -4.764 eV per atom

abc: 4.105 4.105 3.671
angles: 90.00 90.00 90.00
Positions (direct):
B1 0.000 0.000 0.000
Pt1 0.500 0.500 0.500
N1 0.500 0.500 0.000
O1 0.000 0.500 0.500
O2 0.500 0.000 0.500


Record 18
Entry from the Alexandria database: an optimized crystal structure of B2PtNO (PBE).

Output
V ... 68.5 Å³ per cell
Spin magnetization ... 2.89 μB per formula unit
D(E_F) ... 0.533 states/eV per atom
Uncorrected formation energy ... 9.25 eV per formula unit
Total energy ... -4.687 eV per atom

abc: 4.121 4.121 4.030
angles: 90.00 90.00 90.00
Positions (direct):
B1 0.000 0.500 0.000
B2 0.500 0.000 0.000
Pt1 0.000 0.000 0.000
N1 0.500 0.500 0.500
O1 0.000 0.000 0.500


Record 19
Entry from the Alexandria database: an optimized crystal structure of BPtNO2 (PBE).

Output
V ... 67.2 Å³ per cell
Spin magnetization ... 0.00 μB per formula unit
D(E_F) ... 0.654 states/eV per atom
Uncorrected formation energy ... 0.29 eV per formula unit
Total energy ... -6.135 eV per atom

abc: 2.959 2.959 7.677
angles: 90.00 90.00 90.00
Positions (direct):
B1 0.000 0.000 0.000
Pt1 0.500 0.500 0.500
N1 0.000 0.000 0.500
O1 0.000 0.500 0.000
O2 0.500 0.000 0.000


Record 20
Entry from the Alexandria database: an optimized crystal structure of BPtN2O (PBE).

Output
V ... 40.8 Å³ per cell
Spin magnetization ... 0.00 μB per formula unit
D(E_F) ... 0.708 states/eV per atom
Uncorrected formation energy ... 5.77 eV per formula unit
Total energy ... -5.712 eV per atom

abc: 3.479 3.479 3.367
angles: 90.00 90.00 90.00
Positions (direct):
B1 0.000 0.000 0.000
Pt1 0.500 0.500 0.500
N1 0.000 0.500 0.000
N2 0.500 0.000 0.000
O1 0.000 0.000 0.500